Entry 1:
A geometry-optimized KCd2NiOs structure, computed with PBE.

abc: 5.0587 4.5827 5.0587
angles: 90.00 90.00 90.00
With the nearest neighbours (Å) after each atom.
Positions (direct):
Ni (0.0000, 0.0000, 0.0000)  2 Os 2.29, 4 Cd 2.53
K (0.5000, 0.5000, 0.5000)  8 Cd 3.41, 4 Os 3.58
Os (0.0000, 0.5000, 0.0000)  2 Ni 2.29
Cd (0.0000, 0.0000, 0.5000)  2 Ni 2.53
Cd (0.5000, 0.0000, 0.0000)  2 Ni 2.53

Results
Formation enthalpy at 0 K (eV/atom): 0.7325
Magnetization (μB/f.u.): 0.0
SG: P4/mmm
VASP energy (eV/atom): -3.2553



Entry 2:
A geometry-optimized KCdNiP structure, computed with PBE.

abc: 4.0122 4.0122 12.4764
angles: 90.00 90.00 90.00
With the nearest neighbours (Å) after each atom.
Positions (direct):
K (0.7500, 0.7500, 0.2311)  4 P 3.39, 4 Ni 3.51
K (0.2500, 0.2500, 0.7689)  4 P 3.39, 4 Ni 3.51
Cd (0.2500, 0.7500, 0.5000)  4 Cd 2.84
Cd (0.7500, 0.2500, 0.5000)  4 Cd 2.84
Ni (0.7500, 0.2500, 0.0000)  4 P 2.25
Ni (0.2500, 0.7500, 0.0000)  4 P 2.25
P (0.7500, 0.7500, 0.9181)  4 Ni 2.25
P (0.2500, 0.2500, 0.0819)  4 Ni 2.25

Results
Formation enthalpy at 0 K (eV/atom): -0.3224
Magnetization (μB/f.u.): 0.0
SG: P4/nmm
VASP energy (eV/atom): -3.6234



- Number 2 is which compound?
  KCdNiP



- Number 1 is which compound?
  KCd2NiOs



Copy entry 1 word for word.
A geometry-optimized KCd2NiOs structure, computed with PBE.

abc: 5.0587 4.5827 5.0587
angles: 90.00 90.00 90.00
With the nearest neighbours (Å) after each atom.
Positions (direct):
Ni (0.0000, 0.0000, 0.0000)  2 Os 2.29, 4 Cd 2.53
K (0.5000, 0.5000, 0.5000)  8 Cd 3.41, 4 Os 3.58
Os (0.0000, 0.5000, 0.0000)  2 Ni 2.29
Cd (0.0000, 0.0000, 0.5000)  2 Ni 2.53
Cd (0.5000, 0.0000, 0.0000)  2 Ni 2.53

Results
Formation enthalpy at 0 K (eV/atom): 0.7325
Magnetization (μB/f.u.): 0.0
SG: P4/mmm
VASP energy (eV/atom): -3.2553